Entry 1:
# B2CF GGA-PBE relaxed
data_B2CF
_space_group_name_H-M_alt 'P 1'
_space_group_IT_number 1
_space_group_name_Hall 'P 1'
_cell_length_a 4.770
_cell_length_b 4.770
_cell_length_c 4.770
_cell_angle_alpha 90.00
_cell_angle_beta 90.00
_cell_angle_gamma 90.00
loop_
_atom_site_label
_atom_site_type_symbol
_atom_site_fract_x
_atom_site_fract_y
_atom_site_fract_z
B1 B 0.250 0.250 0.250
B2 B 0.250 0.250 0.750
B3 B 0.250 0.750 0.250
B4 B 0.250 0.750 0.750
B5 B 0.750 0.250 0.250
B6 B 0.750 0.250 0.750
B7 B 0.750 0.750 0.250
B8 B 0.750 0.750 0.750
C1 C 0.000 0.000 0.000
C2 C 0.000 0.500 0.500
C3 C 0.500 0.000 0.500
C4 C 0.500 0.500 0.000
F1 F 0.000 0.000 0.500
F2 F 0.000 0.500 0.000
F3 F 0.500 0.000 0.000
F4 F 0.500 0.500 0.500
# DFT total energy = -4.328 eV per atom
# energy above the most stable polymorph in this dataset = 7.28 eV per formula unit
# symmetry = Fm-3m, No. 225
# magnetic moment = 0.00 μB per formula unit

***

Entry 2:
# Mn5Ir3 GGA-PBE relaxed
data_Mn5Ir3
_space_group_name_H-M_alt 'P 1'
_space_group_IT_number 1
_space_group_name_Hall 'P 1'
_cell_length_a 7.354
_cell_length_b 7.444
_cell_length_c 3.726
_cell_angle_alpha 90.00
_cell_angle_beta 90.00
_cell_angle_gamma 90.00
loop_
_atom_site_label
_atom_site_type_symbol
_atom_site_fract_x
_atom_site_fract_y
_atom_site_fract_z
Mn1 Mn 0.000 0.000 0.000
Mn2 Mn 0.250 0.000 0.500
Mn3 Mn 0.250 0.250 0.000
Mn4 Mn 0.250 0.500 0.500
Mn5 Mn 0.250 0.750 0.000
Mn6 Mn 0.500 0.500 0.000
Mn7 Mn 0.750 0.000 0.500
Mn8 Mn 0.750 0.250 0.000
Mn9 Mn 0.750 0.500 0.500
Mn10 Mn 0.750 0.750 0.000
Ir1 Ir 0.000 0.243 0.500
Ir2 Ir 0.000 0.500 0.000
Ir3 Ir 0.000 0.757 0.500
Ir4 Ir 0.500 0.000 0.000
Ir5 Ir 0.500 0.257 0.500
Ir6 Ir 0.500 0.743 0.500
# DFT total energy = -9.195 eV per atom
# energy above the most stable polymorph in this dataset = 0.00 eV per formula unit
# symmetry = Cmmm, No. 65
# formation energy = -0.14 eV per atom
# magnetic moment = 3.59 μB per formula unit

***

Entry 3:
# Ca2InGaPt6 GGA-PBE relaxed
data_Ca2InGaPt6
_space_group_name_H-M_alt 'P 1'
_space_group_IT_number 1
_space_group_name_Hall 'P 1'
_cell_length_a 6.866
_cell_length_b 6.866
_cell_length_c 6.866
_cell_angle_alpha 60.00
_cell_angle_beta 60.00
_cell_angle_gamma 60.00
loop_
_atom_site_label
_atom_site_type_symbol
_atom_site_fract_x
_atom_site_fract_y
_atom_site_fract_z
Ca1 Ca 0.250 0.250 0.250
Ca2 Ca 0.750 0.750 0.750
In1 In 0.000 0.000 0.000
Ga1 Ga 0.500 0.500 0.500
Pt1 Pt 0.260 0.260 0.740
Pt2 Pt 0.260 0.740 0.260
Pt3 Pt 0.260 0.740 0.740
Pt4 Pt 0.740 0.260 0.260
Pt5 Pt 0.740 0.260 0.740
Pt6 Pt 0.740 0.740 0.260
# DFT total energy = -4.668 eV per atom
# symmetry = Fm-3m, No. 225
# formation energy = -0.07 eV per atom
# magnetic moment = 0.00 μB per formula unit